[1]
CoNiP2: single point on PBEsol structure, SCAN.

a = 2.721 Å, b = 3.772 Å, c = 4.741 Å
α = 101.91°, β = 90.00°, γ = 111.15°
Atoms (fractional coordinates):
Co 0.000 0.000 0.500
P 0.254 0.507 0.257
P 0.746 0.493 0.743
Ni 0.500 0.000 0.000

Calculated values
N(E_F)   3.00 states/eV/f.u.
Energy relative to the elements   -0.098 eV/atom
Space-group type   No. 12
Total DFT energy (no corrections)   -13.666 eV/atom


[2]
BeNb3Pd: single point on PBEsol structure, SCAN.

a = 4.773 Å, b = 4.773 Å, c = 4.773 Å
α = 90.00°, β = 90.00°, γ = 90.00°
Atoms (fractional coordinates):
Nb 0.000 0.500 0.000
Nb 0.500 0.000 0.000
Nb 0.000 0.000 0.500
Be 0.500 0.500 0.500
Pd 0.000 0.000 0.000

Calculated values
N(E_F)   7.73 states/eV/f.u.
Energy relative to the elements   1.556 eV/atom
Space-group type   No. 221
Total DFT energy (no corrections)   -25.747 eV/atom


[3]
ZnMoN2: single point on PBEsol structure, SCAN.

a = 2.918 Å, b = 2.918 Å, c = 6.405 Å
α = 76.83°, β = 76.83°, γ = 60.00°
Atoms (fractional coordinates):
N 0.101 0.101 0.696
N 0.899 0.899 0.304
Zn 0.000 0.000 0.000
Mo 0.500 0.500 0.500

Calculated values
N(E_F)   1.55 states/eV/f.u.
Energy relative to the elements, uncorrected   -0.116 eV per atom
Space-group type   No. 166
Total DFT energy (no corrections)   -16.862 eV/atom